(1)
Density functional theory data (PBE-GGA) for crystalline CsY2HgO at its relaxed geometry.

Cell and atoms, written as CIF:
```
data_CsY2HgO
_chemical_formula_sum 'Cs1 Y2 Hg1 O1'
_cell_length_a 5.8974
_cell_length_b 5.8974
_cell_length_c 4.4427
_cell_angle_alpha 90.00
_cell_angle_beta 90.00
_cell_angle_gamma 90.00
_symmetry_space_group_name_H-M 'P 4/m m m'
_symmetry_Int_Tables_number 123
_symmetry_space_group_name_Hall '-P 4 2'
loop_
_atom_site_label
_atom_site_type_symbol
_atom_site_fract_x
_atom_site_fract_y
_atom_site_fract_z
Cs1 Cs 0.0000 0.0000 0.0000
Y1 Y 0.0000 0.5000 0.0000
Hg1 Hg 0.5000 0.5000 0.5000
O1 O 0.0000 0.0000 0.5000
```

Properties
For the total energy, the calculation gives -3.048 eV per atom. As for the magnetization: 0.0 μB per formula unit. As for the uncorrected formation energy: 0.761 eV per atom.

(2)
Density functional theory data (PBE-GGA) for crystalline Cs2ZnHgO at its relaxed geometry.

Cell and atoms, written as CIF:
```
data_Cs2ZnHgO
_chemical_formula_sum 'Cs2 Zn1 Hg1 O1'
_cell_length_a 6.6328
_cell_length_b 6.6328
_cell_length_c 3.9864
_cell_angle_alpha 90.00
_cell_angle_beta 90.00
_cell_angle_gamma 90.00
_symmetry_space_group_name_H-M 'P 4/m m m'
_symmetry_Int_Tables_number 123
_symmetry_space_group_name_Hall '-P 4 2'
loop_
_atom_site_label
_atom_site_type_symbol
_atom_site_fract_x
_atom_site_fract_y
_atom_site_fract_z
Cs1 Cs 0.0000 0.5000 0.0000
Zn1 Zn 0.0000 0.0000 0.5000
Hg1 Hg 0.5000 0.5000 0.5000
O1 O 0.0000 0.0000 0.0000
```

Properties
For the total energy, the calculation gives -2.149 eV per atom. As for the magnetization: 0.0 μB per formula unit. As for the uncorrected formation energy: -0.501 eV per atom.